1.
Density functional theory data (GGA-PBE) for ReH2SeF after structural relaxation.

a = 3.565 Å, b = 3.565 Å, c = 4.704 Å
α = 90.00°, β = 90.00°, γ = 90.00°
Fractional coordinates of all 5 atoms:
Re 0.000 0.000 0.000
H 0.000 0.500 0.000
H 0.500 0.000 0.000
Se 0.000 0.000 0.500
F 0.500 0.500 0.500

Calculated values
SG: P4/mmm (123)
Final energy (eV per atom): -4.766

=====

2.
Density functional theory data (GGA-PBE) for Ta2RhAu after structural relaxation.

a = 9.289 Å, b = 9.289 Å, c = 9.289 Å
α = 18.46°, β = 18.46°, γ = 18.46°
Fractional coordinates of all 4 atoms:
Ta 0.000 0.000 0.000
Ta 0.245 0.245 0.245
Rh 0.505 0.505 0.505
Au 0.750 0.750 0.750

Calculated values
SG: R3m (160)
E_form (eV/atom): -0.04

=====

3.
Density functional theory data (GGA-PBE) for Ta2CoSe after structural relaxation.

a = 4.547 Å, b = 4.547 Å, c = 3.060 Å
α = 90.00°, β = 90.00°, γ = 99.28°
Fractional coordinates of all 4 atoms:
Ta 0.000 0.500 0.000
Ta 0.500 0.000 0.000
Co 0.000 0.000 0.500
Se 0.500 0.500 0.500

Calculated values
SG: Cmmm (65)
Formation energy from raw total energies (eV per formula unit): 0.13

=====

4.
Density functional theory data (GGA-PBE) for Mg3TlH after structural relaxation.

a = 4.497 Å, b = 4.497 Å, c = 4.497 Å
α = 90.00°, β = 90.00°, γ = 90.00°
Fractional coordinates of all 5 atoms:
Mg 0.000 0.000 0.500
Mg 0.000 0.500 0.000
Mg 0.500 0.000 0.000
Tl 0.500 0.500 0.500
H 0.000 0.000 0.000

Calculated values
Relative energy among the computed polymorphs (kJ/mol of formula units): 0.0
SG: Pm-3m (221)

=====

5.
Density functional theory data (GGA-PBE) for Ti4Te after structural relaxation.

a = 4.934 Å, b = 4.934 Å, c = 4.934 Å
α = 90.00°, β = 90.00°, γ = 90.00°
Fractional coordinates of all 5 atoms:
Ti 0.000 0.000 0.000
Ti 0.000 0.500 0.500
Ti 0.500 0.000 0.500
Ti 0.500 0.500 0.000
Te 0.500 0.500 0.500

Calculated values
Relative energy among the computed polymorphs (kJ/mol of formula units): 468.8
SG: Pm-3m (221)
Formation energy from raw total energies (eV per formula unit): 4.04

=====

6.
Density functional theory data (GGA-PBE) for HoSbPt after structural relaxation.

a = 4.487 Å, b = 4.487 Å, c = 3.980 Å
α = 90.00°, β = 90.00°, γ = 120.00°
Fractional coordinates of all 3 atoms:
Ho 0.000 0.000 0.000
Sb 0.667 0.333 0.480
Pt 0.333 0.667 0.587

Calculated values
SG: P3m1 (156)
Formation energy from raw total energies (eV per formula unit): -3.09

=====

7.
Density functional theory data (GGA-PBE) for GaFe3Sb after structural relaxation.

a = 4.460 Å, b = 4.460 Å, c = 4.460 Å
α = 90.00°, β = 90.00°, γ = 90.00°
Fractional coordinates of all 5 atoms:
Ga 0.000 0.000 0.000
Fe 0.000 0.000 0.500
Fe 0.000 0.500 0.000
Fe 0.500 0.000 0.000
Sb 0.500 0.500 0.500

Calculated values
Relative energy among the computed polymorphs (kJ/mol of formula units): 0.0
SG: Pm-3m (221)
Formation energy from raw total energies (eV per formula unit): 4.04

=====

8.
Density functional theory data (GGA-PBE) for Na2SrTcF8 after structural relaxation.

a = 4.503 Å, b = 7.390 Å, c = 5.512 Å
α = 90.00°, β = 91.06°, γ = 90.00°
Fractional coordinates of all 12 atoms:
Na 0.000 0.246 0.000
Na 0.000 0.754 0.000
Sr 0.500 0.000 0.500
Tc 0.500 0.500 0.500
F 0.072 0.000 0.245
F 0.161 0.500 0.272
F 0.361 0.299 0.707
F 0.361 0.701 0.707
F 0.639 0.299 0.293
F 0.639 0.701 0.293
F 0.839 0.500 0.728
F 0.928 0.000 0.755

Calculated values
SG: P2/m (10)
Formation energy from raw total energies (eV per formula unit): -33.46

=====

9.
Density functional theory data (GGA-PBE) for GdAlPdPt after structural relaxation.

a = 4.715 Å, b = 4.715 Å, c = 4.715 Å
α = 60.00°, β = 60.00°, γ = 60.00°
Fractional coordinates of all 4 atoms:
Gd 0.000 0.000 0.000
Al 0.500 0.500 0.500
Pd 0.250 0.250 0.250
Pt 0.750 0.750 0.750

Calculated values
SG: F-43m (216)
E_form (eV/atom): -0.89

=====

10.
Density functional theory data (GGA-PBE) for Tl2WAu after structural relaxation.

a = 5.003 Å, b = 5.003 Å, c = 5.003 Å
α = 60.00°, β = 60.00°, γ = 60.00°
Fractional coordinates of all 4 atoms:
Tl 0.000 0.000 0.000
Tl 0.250 0.250 0.250
W 0.500 0.500 0.500
Au 0.750 0.750 0.750

Calculated values
Relative energy among the computed polymorphs (kJ/mol of formula units): 188.8
SG: F-43m (216)
E_form (eV/atom): 1.06

=====

11.
Density functional theory data (GGA-PBE) for LiTbLuCr after structural relaxation.

a = 5.031 Å, b = 5.031 Å, c = 5.031 Å
α = 60.00°, β = 60.00°, γ = 60.00°
Fractional coordinates of all 4 atoms:
Li 0.000 0.000 0.000
Tb 0.250 0.250 0.250
Lu 0.750 0.750 0.750
Cr 0.500 0.500 0.500

Calculated values
SG: F-43m (216)
E_form (eV/atom): 0.17

=====

12.
Density functional theory data (GGA-PBE) for Tl2Hg3Sb2 after structural relaxation.

a = 11.754 Å, b = 11.754 Å, c = 4.786 Å
α = 90.00°, β = 90.00°, γ = 160.27°
Fractional coordinates of all 7 atoms:
Tl 0.150 0.850 0.000
Tl 0.850 0.150 0.000
Hg 0.000 0.000 0.000
Hg 0.435 0.565 0.500
Hg 0.565 0.435 0.500
Sb 0.295 0.705 0.500
Sb 0.705 0.295 0.500

Calculated values
SG: Cmmm (65)
Formation energy from raw total energies (eV per formula unit): 0.23

=====

13.
Density functional theory data (GGA-PBE) for Ac2MgBe3Pt4 after structural relaxation.

a = 4.162 Å, b = 4.162 Å, c = 10.738 Å
α = 90.00°, β = 90.00°, γ = 90.00°
Fractional coordinates of all 10 atoms:
Ac 0.000 0.500 0.239
Ac 0.500 0.000 0.761
Mg 0.000 0.000 0.500
Be 0.000 0.500 0.895
Be 0.500 0.000 0.105
Be 0.500 0.500 0.500
Pt 0.000 0.000 0.000
Pt 0.000 0.500 0.649
Pt 0.500 0.000 0.351
Pt 0.500 0.500 0.000

Calculated values
SG: P-4m2 (115)
E_form (eV/atom): -0.79

=====

14.
Density functional theory data (GGA-PBE) for ZnInW2 after structural relaxation.

a = 5.270 Å, b = 5.270 Å, c = 4.433 Å
α = 112.48°, β = 112.48°, γ = 36.61°
Fractional coordinates of all 4 atoms:
Zn 0.000 0.000 0.000
In 0.500 0.500 0.500
W 0.255 0.255 0.763
W 0.745 0.745 0.237

Calculated values
Relative energy among the computed polymorphs (kJ/mol of formula units): 47.0
SG: C2/m (12)
E_form (eV/atom): 0.46

=====

15.
Density functional theory data (GGA-PBE) for SrIrPt2 after structural relaxation.

a = 9.390 Å, b = 9.390 Å, c = 9.390 Å
α = 149.74°, β = 149.74°, γ = 43.33°
Fractional coordinates of all 8 atoms:
Sr 0.000 0.000 0.000
Sr 0.750 0.250 0.500
Ir 0.250 0.750 0.500
Ir 0.500 0.500 0.000
Pt 0.313 0.625 0.188
Pt 0.375 0.563 0.688
Pt 0.437 0.125 0.812
Pt 0.875 0.687 0.312

Calculated values
Relative energy among the computed polymorphs (kJ/mol of formula units): 0.0
SG: I-42d (122)
E_form (eV/atom): -0.10

=====

16.
Density functional theory data (GGA-PBE) for YTe2Se after structural relaxation.

a = 9.996 Å, b = 9.996 Å, c = 9.996 Å
α = 22.45°, β = 22.45°, γ = 22.45°
Fractional coordinates of all 4 atoms:
Y 0.000 0.000 0.000
Te 0.102 0.102 0.102
Te 0.898 0.898 0.898
Se 0.500 0.500 0.500

Calculated values
SG: R-3m (166)
Formation energy from raw total energies (eV per formula unit): 0.47

=====

17.
Density functional theory data (GGA-PBE) for BaGe2Cl after structural relaxation.

a = 14.090 Å, b = 14.090 Å, c = 14.090 Å
α = 162.57°, β = 162.57°, γ = 24.74°
Fractional coordinates of all 8 atoms:
Ba 0.000 0.000 0.000
Ba 0.750 0.250 0.500
Ge 0.214 0.625 0.089
Ge 0.375 0.464 0.589
Ge 0.536 0.125 0.911
Ge 0.875 0.786 0.411
Cl 0.250 0.750 0.500
Cl 0.500 0.500 0.000

Calculated values
Relative energy among the computed polymorphs (kJ/mol of formula units): 0.0
SG: I-42d (122)
Formation energy from raw total energies (eV per formula unit): -2.51

=====

18.
Density functional theory data (GGA-PBE) for CuAu after structural relaxation.

a = 6.791 Å, b = 6.791 Å, c = 6.791 Å
α = 109.47°, β = 109.47°, γ = 109.47°
Fractional coordinates of all 8 atoms:
Cu 0.000 0.000 0.625
Cu 0.000 0.625 0.000
Cu 0.375 0.375 0.375
Cu 0.625 0.000 0.000
Au 0.000 0.000 0.265
Au 0.000 0.265 0.000
Au 0.265 0.000 0.000
Au 0.735 0.735 0.735

Calculated values
SG: I-43m (217)
E_form (eV/atom): 0.69

=====

19.
Density functional theory data (GGA-PBE) for AcCe2Cd after structural relaxation.

a = 3.727 Å, b = 3.727 Å, c = 9.149 Å
α = 90.00°, β = 90.00°, γ = 90.00°
Fractional coordinates of all 4 atoms:
Ac 0.000 0.000 0.000
Ce 0.500 0.500 0.278
Ce 0.500 0.500 0.722
Cd 0.000 0.000 0.500

Calculated values
Relative energy among the computed polymorphs (kJ/mol of formula units): 0.0
SG: P4/mmm (123)
E_form (eV/atom): 0.03

=====

20.
Density functional theory data (GGA-PBE) for BeIr2 after structural relaxation.

a = 4.014 Å, b = 4.014 Å, c = 6.494 Å
α = 90.00°, β = 90.00°, γ = 120.00°
Fractional coordinates of all 6 atoms:
Be 0.000 0.000 0.250
Be 0.000 0.000 0.750
Ir 0.333 0.667 0.062
Ir 0.333 0.667 0.438
Ir 0.667 0.333 0.562
Ir 0.667 0.333 0.938

Calculated values
SG: P6_3/mmc (194)
E_form (eV/atom): 0.36

=====

no.,magnetization (Bohr magnetons per cell),calculated volume (Å³ per cell)
1,0.61,59.78
2,0.00,70.23
3,0.89,62.45
4,0.00,90.97
5,0.89,120.08
6,0.00,69.39
7,7.47,88.72
8,3.00,183.40
9,7.24,74.11
10,3.00,88.55
11,3.18,90.05
12,0.00,223.23
13,0.00,185.96
14,0.00,67.21
15,0.00,209.71
16,0.00,127.74
17,0.00,250.83
18,0.00,241.04
19,1.71,127.08
20,0.00,90.62